The following is a DFT calculation (PBE) of a geometry-optimized Th3InSn structure.

Cell lengths 9.3537, 9.3537, 4.9247 Å; angles 90.00, 90.00, 127.51 degrees
With the nearest neighbours (Å) after each atom.
Positions (direct):
1 Th 0.0000 0.5000 0.5000  4 Th 3.37, 2 In 3.44
2 Th 0.1907 0.8093 0.0000  2 In 3.02, 1 Sn 3.17, 4 Th 3.37
3 Th 0.3281 0.3281 0.5000  1 Th 2.84, 2 In 3.08
4 Th 0.5000 0.0000 0.5000  4 Th 3.37, 2 In 3.44
5 Th 0.6719 0.6719 0.5000  1 Th 2.84, 2 In 3.08
6 Th 0.8093 0.1907 0.0000  2 In 3.02, 1 Sn 3.17, 4 Th 3.37
7 In 0.0864 0.9136 0.5000  1 In 2.90, 4 Th 3.02-3.08
8 In 0.9136 0.0864 0.5000  1 In 2.90, 4 Th 3.02-3.08
9 Sn 0.3799 0.6201 0.0000  5 Th 3.17-3.49
10 Sn 0.6201 0.3799 0.0000  5 Th 3.17-3.49

Computed properties:
DFT total energy ... -55.70 eV for the cell shown
Energy of formation ... 0.230 eV/atom

The following is a DFT calculation (PBE) of a geometry-optimized Th2InSn structure.

Cell lengths 5.8004, 5.8004, 3.5134 Å; angles 90.00, 90.00, 104.93 degrees
With the nearest neighbours (Å) after each atom.
Positions (direct):
1 Th 0.0000 0.5000 0.0000  4 In 3.39, 4 Sn 3.39, 4 Th 3.51-3.53
2 Th 0.5000 0.0000 0.0000  4 In 3.39, 4 Sn 3.39, 4 Th 3.51-3.53
3 In 0.0000 0.0000 0.5000  8 Th 3.39, 2 In 3.51, 2 Sn 3.53
4 Sn 0.5000 0.5000 0.5000  8 Th 3.39, 2 Sn 3.51, 2 In 3.53

Computed properties:
DFT total energy ... -23.22 eV for the cell shown
Energy above the lowest structure with this stoichiometry ... 5 meV/atom
Energy of formation ... -0.411 eV/atom

The following is a DFT calculation (PBE) of a geometry-optimized ThInSn2 structure.

Cell lengths 4.0595, 4.0595, 6.6686 Å; angles 90.00, 90.00, 90.00 degrees
With the nearest neighbours (Å) after each atom.
Positions (direct):
1 Th 0.0000 0.0000 0.0000  2 In 3.33, 8 Sn 3.38
2 In 0.0000 0.0000 0.5000  8 Sn 3.27, 2 Th 3.33
3 Sn 0.5000 0.5000 0.2663  1 Sn 3.12, 4 In 3.27, 4 Th 3.38
4 Sn 0.5000 0.5000 0.7337  1 Sn 3.12, 4 In 3.27, 4 Th 3.38

Computed properties:
DFT total energy ... -19.33 eV for the cell shown
Energy above the lowest structure with this stoichiometry ... 128 meV/atom
Energy of formation ... -0.292 eV/atom

The following is a DFT calculation (PBE) of a geometry-optimized Th2InSn structure.

Cell lengths 4.1136, 4.1136, 6.8659 Å; angles 90.00, 90.00, 90.00 degrees
With the nearest neighbours (Å) after each atom.
Positions (direct):
1 Th 0.0000 0.0000 0.2455  4 Sn 3.36, 2 Th 3.37-3.49, 4 In 3.39
2 Th 0.0000 0.0000 0.7545  4 Sn 3.36, 2 Th 3.37-3.49, 4 In 3.39
3 In 0.5000 0.5000 0.5000  8 Th 3.39, 2 Sn 3.43
4 Sn 0.5000 0.5000 0.0000  8 Th 3.36, 2 In 3.43

Computed properties:
DFT total energy ... -23.13 eV for the cell shown
Energy above the lowest structure with this stoichiometry ... 28 meV/atom
Energy of formation ... -0.387 eV/atom

The following is a DFT calculation (PBE) of a geometry-optimized Th2InSn4 structure.

Cell lengths 4.4570, 4.4570, 10.4136 Å; angles 90.00, 90.00, 90.00 degrees
With the nearest neighbours (Å) after each atom.
Positions (direct):
1 Th 0.0000 0.5000 0.2429  8 Sn 3.24-3.37, 2 In 3.48
2 Th 0.5000 0.0000 0.7571  8 Sn 3.24-3.37, 2 In 3.48
3 In 0.0000 0.0000 0.5000  4 Sn 2.95
4 Sn 0.0000 0.0000 0.0000  4 Sn 3.15, 4 Th 3.37
5 Sn 0.0000 0.5000 0.6850  2 In 2.95, 4 Th 3.24
6 Sn 0.5000 0.0000 0.3150  2 In 2.95, 4 Th 3.24
7 Sn 0.5000 0.5000 0.0000  4 Sn 3.15, 4 Th 3.37

Computed properties:
DFT total energy ... -36.05 eV for the cell shown
Energy of formation ... -0.351 eV/atom

The following is a DFT calculation (PBE) of a geometry-optimized ThInSn structure.

Cell lengths 5.2597, 5.2597, 6.5825 Å; angles 90.00, 90.00, 110.86 degrees
With the nearest neighbours (Å) after each atom.
Positions (direct):
1 Th 0.1693 0.8307 0.7500  5 In 3.14-3.30, 2 Sn 3.30
2 Th 0.8307 0.1693 0.2500  5 In 3.14-3.30, 2 Sn 3.30
3 In 0.1936 0.8064 0.2500  2 Sn 3.12, 5 Th 3.14-3.30
4 In 0.8064 0.1936 0.7500  2 Sn 3.12, 5 Th 3.14-3.30
5 Sn 0.5000 0.5000 0.0000  2 In 3.12, 2 Sn 3.29, 2 Th 3.30
6 Sn 0.5000 0.5000 0.5000  2 In 3.12, 2 Sn 3.29, 2 Th 3.30

Computed properties:
DFT total energy ... -29.69 eV for the cell shown
Energy above the lowest structure with this stoichiometry ... 164 meV/atom
Energy of formation ... -0.228 eV/atom

The following is a DFT calculation (PBE) of a geometry-optimized Th2InSn structure.

Cell lengths 6.7730, 6.7730, 6.7730 Å; angles 117.37, 95.05, 116.88 degrees
With the nearest neighbours (Å) after each atom.
Positions (direct):
1 Th 0.2642 0.0000 0.7642  4 Sn 3.38-3.40, 4 In 3.39-3.40, 4 Th 3.52-3.55
2 Th 0.2642 0.5000 0.2642  4 Sn 3.38-3.40, 4 In 3.39-3.40, 4 Th 3.52-3.55
3 Th 0.7358 0.0000 0.2358  4 Sn 3.38-3.40, 4 In 3.39-3.40, 4 Th 3.52-3.55
4 Th 0.7358 0.5000 0.7358  4 Sn 3.38-3.40, 4 In 3.39-3.40, 4 Th 3.52-3.55
5 In 0.2273 0.4773 0.7500  3 Sn 3.23-3.52, 8 Th 3.39-3.40
6 In 0.7727 0.5227 0.2500  3 Sn 3.23-3.52, 8 Th 3.39-3.40
7 Sn 0.2288 0.9788 0.2500  3 In 3.23-3.52, 8 Th 3.38-3.40
8 Sn 0.7712 0.0212 0.7500  3 In 3.23-3.52, 8 Th 3.38-3.40

Computed properties:
DFT total energy ... -46.49 eV for the cell shown
Energy above the lowest structure with this stoichiometry ... 0 meV/atom
Energy of formation ... -0.416 eV/atom

The following is a DFT calculation (PBE) of a geometry-optimized ThInSn structure.

Cell lengths 8.6066, 8.6066, 4.4533 Å; angles 90.00, 90.00, 148.95 degrees
With the nearest neighbours (Å) after each atom.
Positions (direct):
1 Th 0.0935 0.9065 0.7500  6 Sn 3.23-3.56, 4 In 3.44-3.45
2 Th 0.9065 0.0935 0.2500  6 Sn 3.23-3.56, 4 In 3.44-3.45
3 In 0.2517 0.7483 0.2500  4 In 3.20, 4 Th 3.44-3.45
4 In 0.7483 0.2517 0.7500  4 In 3.20, 4 Th 3.44-3.45
5 Sn 0.4300 0.5700 0.7500  2 Sn 3.22, 6 Th 3.23-3.56
6 Sn 0.5700 0.4300 0.2500  2 Sn 3.22, 6 Th 3.23-3.56

Computed properties:
DFT total energy ... -30.67 eV for the cell shown
Energy above the lowest structure with this stoichiometry ... 0 meV/atom
Energy of formation ... -0.392 eV/atom

The following is a DFT calculation (PBE) of a geometry-optimized ThInSn6 structure.

Cell lengths 6.7188, 6.7188, 4.7993 Å; angles 90.00, 90.00, 90.00 degrees
With the nearest neighbours (Å) after each atom.
Positions (direct):
1 Th 0.0000 0.0000 0.0000  12 Sn 3.36-3.42
2 In 0.5000 0.5000 0.0000  12 Sn 3.33-3.36
3 Sn 0.0000 0.5000 0.0000  2 In 3.36, 2 Th 3.36, 8 Sn 3.38
4 Sn 0.2567 0.2567 0.5000  8 Sn 3.27-3.45, 2 In 3.33, 2 Th 3.42
5 Sn 0.2567 0.7433 0.5000  8 Sn 3.27-3.45, 2 In 3.33, 2 Th 3.42
6 Sn 0.5000 0.0000 0.0000  2 In 3.36, 2 Th 3.36, 8 Sn 3.38
7 Sn 0.7433 0.2567 0.5000  8 Sn 3.27-3.45, 2 In 3.33, 2 Th 3.42
8 Sn 0.7433 0.7433 0.5000  8 Sn 3.27-3.45, 2 In 3.33, 2 Th 3.42

Computed properties:
DFT total energy ... -35.60 eV for the cell shown
Energy of formation ... -0.178 eV/atom

The following is a DFT calculation (PBE) of a geometry-optimized Th7In2Sn2 structure.

Cell lengths 7.0925, 7.0925, 7.6594 Å; angles 90.00, 90.00, 107.95 degrees
With the nearest neighbours (Å) after each atom.
Positions (direct):
1 Th 0.0000 0.0000 0.0000  2 Sn 3.22
2 Th 0.0000 0.5000 0.2955  2 Sn 3.10, 1 Th 3.13, 2 In 3.34
3 Th 0.0000 0.5000 0.7045  2 Sn 3.10, 1 Th 3.13, 2 In 3.34
4 Th 0.5000 0.0000 0.2955  2 Sn 3.10, 1 Th 3.13, 2 In 3.34
5 Th 0.5000 0.0000 0.7045  2 Sn 3.10, 1 Th 3.13, 2 In 3.34
6 Th 0.5000 0.5000 0.2644  2 Sn 3.23, 2 In 3.31, 5 Th 3.55-3.61
7 Th 0.5000 0.5000 0.7356  2 Sn 3.23, 2 In 3.31, 5 Th 3.55-3.61
8 In 0.1681 0.1681 0.5000  1 In 2.80
9 In 0.8319 0.8319 0.5000  1 In 2.80
10 Sn 0.2804 0.7196 0.0000  7 Th 3.10-3.23
11 Sn 0.7196 0.2804 0.0000  7 Th 3.10-3.23

Computed properties:
DFT total energy ... -64.57 eV for the cell shown
Energy of formation ... 0.078 eV/atom

The following is a DFT calculation (PBE) of a geometry-optimized ThIn6Sn structure.

Cell lengths 6.9997, 6.9997, 4.3800 Å; angles 90.00, 90.00, 90.00 degrees
With the nearest neighbours (Å) after each atom.
Positions (direct):
1 Th 0.0000 0.0000 0.0000  12 In 3.36-3.50
2 In 0.0000 0.5000 0.0000  8 In 3.31, 2 Sn 3.50, 2 Th 3.50
3 In 0.2573 0.2573 0.5000  2 Sn 3.25, 8 In 3.31-3.60, 2 Th 3.36
4 In 0.2573 0.7427 0.5000  2 Sn 3.25, 8 In 3.31-3.60, 2 Th 3.36
5 In 0.5000 0.0000 0.0000  8 In 3.31, 2 Sn 3.50, 2 Th 3.50
6 In 0.7427 0.2573 0.5000  2 Sn 3.25, 8 In 3.31-3.60, 2 Th 3.36
7 In 0.7427 0.7427 0.5000  2 Sn 3.25, 8 In 3.31-3.60, 2 Th 3.36
8 Sn 0.5000 0.5000 0.0000  12 In 3.25-3.50

Computed properties:
DFT total energy ... -28.61 eV for the cell shown
Energy of formation ... -0.095 eV/atom

The following is a DFT calculation (PBE) of a geometry-optimized Th8In3Sn2 structure.

Cell lengths 8.5682, 8.5682, 6.3438 Å; angles 90.64, 90.64, 64.61 degrees
With the nearest neighbours (Å) after each atom.
Positions (direct):
1 Th 0.0692 0.6934 0.1054  2 Sn 3.20-3.27, 2 In 3.25-3.41, 2 Th 3.44-3.57
2 Th 0.0953 0.0953 0.3842  1 Th 3.14, 1 Sn 3.18, 2 In 3.33
3 Th 0.3066 0.9308 0.8946  2 Sn 3.20-3.27, 2 In 3.25-3.41, 2 Th 3.44-3.57
4 Th 0.3187 0.3187 0.6334  2 Sn 3.19-3.24, 3 In 3.22-3.48
5 Th 0.6813 0.6813 0.3666  2 Sn 3.19-3.24, 3 In 3.22-3.48
6 Th 0.6934 0.0692 0.1054  2 Sn 3.20-3.27, 2 In 3.25-3.41, 2 Th 3.44-3.57
7 Th 0.9047 0.9047 0.6158  1 Th 3.14, 1 Sn 3.18, 2 In 3.33
8 Th 0.9308 0.3066 0.8946  2 Sn 3.20-3.27, 2 In 3.25-3.41, 2 Th 3.44-3.57
9 In 0.3199 0.6801 0.5000  6 Th 3.22-3.33, 3 In 3.30-3.57
10 In 0.5000 0.5000 0.0000  2 Sn 3.26, 6 Th 3.41-3.48, 4 In 3.57
11 In 0.6801 0.3199 0.5000  6 Th 3.22-3.33, 3 In 3.30-3.57
12 Sn 0.2825 0.2825 0.1287  7 Th 3.18-3.27, 1 In 3.26
13 Sn 0.7175 0.7175 0.8713  7 Th 3.18-3.27, 1 In 3.26

Computed properties:
DFT total energy ... -76.12 eV for the cell shown
Energy of formation ... -0.042 eV/atom